# 1
## AcTbLu2 (GGA-PBE)

Data for an optimized crystal structure of AcTbLu2.

Structure (POSCAR):
```
AcTbLu2
1.0
4.111 0.000 0.000
0.000 4.111 0.000
0.000 0.000 7.991
Ac Lu Tb
1 2 1
Cartesian
2.056 2.056 3.996 Ac
0.000 0.000 6.167 Lu
0.000 0.000 1.824 Lu
2.056 2.056 0.000 Tb
```

Calculated values
* E: -4.36 eV/atom
* symmetry: No. 123
* formation enthalpy at 0 K: 0.09 eV/atom
* crystal system: tetragonal
* calculated density: 9.05 g/cm3
* N(E_F): 5.48 states/eV/cell
* spin magnetization: 0.0000 μB per atom
* ΔE to the lowest computed polymorph: 0.014 eV per atom

# 2
## AcTbLu2 (GGA-PBE)

Data for an optimized crystal structure of AcTbLu2.

Structure (POSCAR):
```
AcTbLu2
1.0
4.967 0.000 0.000
0.000 5.193 0.000
0.000 0.000 5.193
Ac Lu Tb
1 2 1
Cartesian
2.483 0.000 0.000 Ac
0.000 0.000 2.597 Lu
0.000 2.597 0.000 Lu
2.483 2.597 2.597 Tb
```

Calculated values
* E: -4.37 eV/atom
* symmetry: No. 123
* formation enthalpy at 0 K: 0.08 eV/atom
* crystal system: tetragonal
* calculated density: 9.12 g/cm3
* N(E_F): 7.03 states/eV/cell
* spin magnetization: 0.0001 μB per atom
* ΔE to the lowest computed polymorph: 0.000 eV per atom

# 3
## Ac2TbLu (GGA-PBE)

Data for an optimized crystal structure of Ac2TbLu.

Structure (POSCAR):
```
Ac2TbLu
1.0
-3.004 1.275 -4.990
-2.664 -4.360 -3.073
-5.949 -0.387 -0.079
Ac Lu Tb
2 1 1
Cartesian
-2.904 -0.868 -2.035 Ac
-8.713 -2.604 -6.106 Ac
0.000 0.000 0.000 Lu
-5.809 -1.736 -4.071 Tb
```

Calculated values
* E: -4.25 eV/atom
* symmetry: No. 225
* formation enthalpy at 0 K: 0.09 eV/atom
* crystal system: cubic
* calculated density: 8.73 g/cm3
* N(E_F): 6.28 states/eV/cell
* spin magnetization: 0.0000 μB per atom
* ΔE to the lowest computed polymorph: 0.034 eV per atom

# 4
## AcTbLu (GGA-PBE)

Data for an optimized crystal structure of AcTbLu.

Structure (POSCAR):
```
AcTbLu
1.0
3.715 0.000 0.000
0.000 3.715 0.000
-1.857 -1.857 7.618
Ac Lu Tb
1 1 1
Cartesian
1.857 1.857 7.602 Ac
0.000 0.000 4.981 Lu
1.857 1.857 2.653 Tb
```

Calculated values
* E: -4.35 eV/atom
* symmetry: No. 107
* formation enthalpy at 0 K: 0.07 eV/atom
* crystal system: tetragonal
* calculated density: 8.86 g/cm3
* N(E_F): 4.35 states/eV/cell
* spin magnetization: 0.0001 μB per atom
* ΔE to the lowest computed polymorph: 0.000 eV per atom

# 5
## AcTbLu2 (GGA-PBE)

Data for an optimized crystal structure of AcTbLu2.

Structure (POSCAR):
```
AcTbLu2
1.0
-0.513 -2.629 -5.097
0.991 -5.655 -0.435
-4.373 -3.625 -0.942
Ac Lu Tb
1 2 1
Cartesian
-1.948 -5.955 -3.237 Ac
-0.974 -2.977 -1.618 Lu
-2.921 -8.932 -4.855 Lu
0.000 0.000 0.000 Tb
```

Calculated values
* E: -4.34 eV/atom
* symmetry: No. 225
* formation enthalpy at 0 K: 0.10 eV/atom
* crystal system: cubic
* calculated density: 9.05 g/cm3
* N(E_F): 4.98 states/eV/cell
* spin magnetization: 0.0000 μB per atom
* ΔE to the lowest computed polymorph: 0.027 eV per atom

# 6
## AcTbLu (GGA-PBE)

Data for an optimized crystal structure of AcTbLu.

Structure (POSCAR):
```
AcTbLu
1.0
3.551 0.000 0.000
0.000 5.830 0.000
0.000 -2.915 5.049
Ac Lu Tb
1 1 1
Cartesian
0.586 0.000 0.000 Ac
0.599 0.000 3.366 Lu
2.366 2.915 1.683 Tb
```

Calculated values
* E: -4.26 eV/atom
* symmetry: No. 156
* formation enthalpy at 0 K: 0.16 eV/atom
* crystal system: trigonal
* calculated density: 8.91 g/cm3
* N(E_F): 4.64 states/eV/cell
* spin magnetization: 0.0057 μB per atom
* ΔE to the lowest computed polymorph: 0.085 eV per atom

# 7
## AcTbLu2 (GGA-PBE)

Data for an optimized crystal structure of AcTbLu2.

Structure (POSCAR):
```
AcTbLu2
1.0
3.536 0.000 0.000
1.768 3.062 0.000
1.768 1.021 12.546
Ac Lu Tb
1 2 1
Cartesian
0.000 0.000 0.000 Ac
1.768 1.021 9.052 Lu
5.304 3.062 3.494 Lu
3.536 2.041 6.273 Tb
```

Calculated values
* E: -4.23 eV/atom
* symmetry: No. 166
* formation enthalpy at 0 K: 0.21 eV/atom
* crystal system: trigonal
* calculated density: 9.00 g/cm3
* N(E_F): 6.03 states/eV/cell
* spin magnetization: 0.0000 μB per atom
* ΔE to the lowest computed polymorph: 0.139 eV per atom

# 8
## Ac2TbLu (GGA-PBE)

Data for an optimized crystal structure of Ac2TbLu.

Structure (POSCAR):
```
Ac2TbLu
1.0
-3.364 -1.495 0.140
-0.388 -3.663 0.040
-0.746 -1.631 13.121
Ac Lu Tb
2 1 1
Cartesian
-0.880 -1.655 9.657 Ac
-3.618 -5.135 3.644 Ac
0.000 0.000 0.000 Lu
-2.249 -3.395 6.650 Tb
```

Calculated values
* E: -4.07 eV/atom
* symmetry: No. 166
* formation enthalpy at 0 K: 0.28 eV/atom
* crystal system: trigonal
* calculated density: 8.52 g/cm3
* N(E_F): 7.44 states/eV/cell
* spin magnetization: 0.0000 μB per atom
* ΔE to the lowest computed polymorph: 0.219 eV per atom

# 9
## Ac2TbLu (GGA-PBE)

Data for an optimized crystal structure of Ac2TbLu.

Structure (POSCAR):
```
Ac2TbLu
1.0
-3.639 -1.213 -0.649
0.747 -3.283 1.948
-2.915 4.285 8.340
Ac Lu Tb
2 1 1
Cartesian
-2.200 3.234 6.294 Ac
-0.715 1.051 2.045 Ac
-1.446 -2.248 0.650 Lu
-2.904 -0.105 4.819 Tb
```

Calculated values
* E: -4.28 eV/atom
* symmetry: No. 123
* formation enthalpy at 0 K: 0.06 eV/atom
* crystal system: tetragonal
* calculated density: 8.81 g/cm3
* N(E_F): 5.39 states/eV/cell
* spin magnetization: 0.0001 μB per atom
* ΔE to the lowest computed polymorph: 0.000 eV per atom

# 10
## Ac2TbLu (GGA-PBE)

Data for an optimized crystal structure of Ac2TbLu.

Structure (POSCAR):
```
Ac2TbLu
1.0
4.982 0.000 0.000
0.000 5.457 0.000
0.000 0.000 5.457
Ac Lu Tb
2 1 1
Cartesian
0.000 0.000 2.728 Ac
0.000 2.728 0.000 Ac
2.491 0.000 0.000 Lu
2.491 2.728 2.728 Tb
```

Calculated values
* E: -4.28 eV/atom
* symmetry: No. 123
* formation enthalpy at 0 K: 0.06 eV/atom
* crystal system: tetragonal
* calculated density: 8.82 g/cm3
* N(E_F): 5.46 states/eV/cell
* spin magnetization: 0.0022 μB per atom
* ΔE to the lowest computed polymorph: 0.006 eV per atom

# 11
## AcTbLuTh (GGA-PBE)

Data for an optimized crystal structure of AcTbLuTh.

Structure (POSCAR):
```
AcTbLuTh
1.0
5.786 0.000 0.000
2.893 5.011 0.000
2.893 1.670 4.724
Ac Lu Tb Th
1 1 1 1
Cartesian
2.893 1.670 1.181 Ac
0.000 0.000 0.000 Lu
5.786 3.341 2.362 Tb
8.679 5.011 3.543 Th
```

Calculated values
* E: -5.04 eV/atom
* symmetry: No. 216
* formation enthalpy at 0 K: 0.13 eV/atom
* crystal system: cubic
* calculated density: 9.61 g/cm3
* N(E_F): 6.09 states/eV/cell
* spin magnetization: 0.0003 μB per atom

# 12
## AcTbYLu (GGA-PBE)

Data for an optimized crystal structure of AcTbYLu.

Structure (POSCAR):
```
AcTbYLu
1.0
-2.301 -0.497 5.307
2.587 -3.336 3.985
2.649 2.442 4.552
Y Ac Lu Tb
1 1 1 1
Cartesian
2.201 -1.043 10.383 Y
0.000 0.000 0.000 Ac
1.467 -0.695 6.922 Lu
0.734 -0.348 3.461 Tb
```

Calculated values
* E: -4.78 eV/atom
* symmetry: No. 216
* formation enthalpy at 0 K: 0.15 eV/atom
* crystal system: cubic
* calculated density: 7.80 g/cm3
* N(E_F): 7.27 states/eV/cell
* spin magnetization: 0.0000 μB per atom

# 13
## AcLu2Tc (GGA-PBE)

Data for an optimized crystal structure of AcLu2Tc.

Structure (POSCAR):
```
AcLu2Tc
1.0
-1.185 -3.204 0.576
-0.450 -2.184 -2.652
9.913 -5.441 0.536
Ac Lu Tc
1 2 1
Cartesian
4.139 -5.414 -0.770 Ac
7.607 -4.637 0.266 Lu
0.672 -6.192 -1.805 Lu
0.000 0.000 0.000 Tc
```

Calculated values
* E: -5.14 eV/atom
* symmetry: No. 166
* formation enthalpy at 0 K: 0.74 eV/atom
* crystal system: trigonal
* calculated density: 9.68 g/cm3
* N(E_F): 3.98 states/eV/cell
* spin magnetization: 0.0000 μB per atom
* ΔE to the lowest computed polymorph: 0.740 eV per atom

# 14
## AcLu3Tc (GGA-PBE)

Data for an optimized crystal structure of AcLu3Tc.

Structure (POSCAR):
```
AcLu3Tc
1.0
-4.479 -0.314 -2.966
0.896 -5.246 -0.797
-2.844 -1.157 4.419
Ac Lu Tc
1 3 1
Cartesian
-3.214 -3.358 0.328 Ac
0.448 -2.623 -0.399 Lu
-1.422 -0.579 2.209 Lu
-2.239 -0.157 -1.483 Lu
0.000 0.000 0.000 Tc
```

Calculated values
* E: -5.57 eV/atom
* symmetry: No. 221
* formation enthalpy at 0 K: 0.04 eV/atom
* crystal system: cubic
* calculated density: 9.06 g/cm3
* N(E_F): 6.98 states/eV/cell
* spin magnetization: 0.0004 μB per atom

# 15
## AcLu2Tc (GGA-PBE)

Data for an optimized crystal structure of AcLu2Tc.

Structure (POSCAR):
```
AcLu2Tc
1.0
-0.606 2.979 1.704
-3.420 -0.375 -0.560
-0.784 -4.693 7.926
Ac Lu Tc
1 2 1
Cartesian
-2.405 -1.044 4.535 Ac
-0.650 -3.892 6.572 Lu
-0.134 -0.801 1.353 Lu
-2.013 1.302 0.572 Tc
```

Calculated values
* E: -5.88 eV/atom
* symmetry: No. 123
* formation enthalpy at 0 K: 0.00 eV/atom
* crystal system: tetragonal
* calculated density: 9.98 g/cm3
* N(E_F): 7.08 states/eV/cell
* spin magnetization: 0.0016 μB per atom
* ΔE to the lowest computed polymorph: 0.000 eV per atom